Material: K3Pb5I12
Method: DFT, PBE-GGA
State: relaxed Values from VASP.

Results
total magnetic moment = 0.00 μB/f.u.
final energy = -2.79 eV/atom
theoretical density = 4.32 Mg/m³

The structure in Quantum ESPRESSO input format:
```
&SYSTEM
  ibrav = 0, nat = 80, ntyp = 3
/
ATOMIC_SPECIES
I 126.90 I.upf
K 39.10 K.upf
Pb 207.20 Pb.upf
ATOMIC_POSITIONS crystal
I 0.2901 0.8764 0.9629
I 0.0862 0.1728 0.2099
I 0.8272 0.9138 0.2901
I 0.4629 0.6728 0.0866
I 0.2099 0.6728 0.0862
I 0.4138 0.1236 0.5866
I 0.9629 0.5866 0.1728
I 0.2099 0.5371 0.6236
I 0.1728 0.0866 0.9629
I 0.9134 0.8272 0.5371
I 0.5862 0.8764 0.4134
I 0.1728 0.0862 0.7099
I 0.0866 0.1728 0.4629
I 0.5866 0.6236 0.4138
I 0.4629 0.7901 0.8764
I 0.3764 0.9629 0.7901
I 0.2901 0.4138 0.8272
I 0.1236 0.7099 0.5371
I 0.9629 0.3764 0.2901
I 0.8764 0.5862 0.9134
I 0.7099 0.5862 0.1728
I 0.5862 0.7099 0.6728
I 0.6236 0.5866 0.9138
I 0.8764 0.2901 0.4629
I 0.5371 0.2099 0.1236
I 0.0862 0.9134 0.3764
I 0.9138 0.8272 0.7901
I 0.9134 0.0862 0.8764
I 0.7901 0.4629 0.3764
I 0.3272 0.7901 0.4138
I 0.4134 0.3764 0.5862
I 0.8272 0.9134 0.0371
I 0.5866 0.9629 0.6728
I 0.6728 0.2099 0.5862
I 0.3272 0.5371 0.4134
I 0.7901 0.3272 0.9138
I 0.6236 0.0371 0.2099
I 0.4138 0.2901 0.3272
I 0.1236 0.4138 0.0866
I 0.4134 0.0371 0.3272
I 0.0866 0.9138 0.1236
I 0.5371 0.3272 0.9134
I 0.3764 0.4134 0.0862
I 0.7099 0.1236 0.0371
I 0.9138 0.0866 0.6236
I 0.6728 0.4629 0.5866
I 0.0371 0.6236 0.7099
I 0.0371 0.4134 0.8272
K 0.7500 0.3750 0.1250
K 0.7500 0.8750 0.6250
K 0.8750 0.1250 0.2500
K 0.3750 0.7500 0.6250
K 0.2500 0.1250 0.3750
K 0.1250 0.8750 0.7500
K 0.8750 0.7500 0.1250
K 0.1250 0.2500 0.8750
K 0.6250 0.3750 0.7500
K 0.6250 0.2500 0.3750
K 0.2500 0.6250 0.8750
K 0.3750 0.6250 0.2500
Pb 0.3750 0.2500 0.1250
Pb 0.6250 0.8750 0.2500
Pb 0.7500 0.6250 0.3750
Pb 0.1250 0.3750 0.2500
Pb 0.5000 0.5000 0.5000
Pb 0.0000 0.0000 0.0000
Pb 0.3750 0.1250 0.7500
Pb 0.0000 0.5000 0.0000
Pb 0.0000 0.0000 0.5000
Pb 0.7500 0.1250 0.8750
Pb 0.6250 0.7500 0.8750
Pb 0.5000 0.0000 0.0000
Pb 0.2500 0.3750 0.6250
Pb 0.8750 0.6250 0.7500
Pb 0.2500 0.8750 0.1250
Pb 0.8750 0.2500 0.6250
Pb 0.5000 0.5000 0.0000
Pb 0.1250 0.7500 0.3750
Pb 0.0000 0.5000 0.5000
Pb 0.5000 0.0000 0.5000
CELL_PARAMETERS angstrom
17.4878 0.0000 0.0000
-5.8293 16.4877 0.0000
-5.8293 -8.2438 14.2788
```